Computed, not measured: a relaxed Ac10Sn4N3 crystal at the PBE-GGA level of DFT.

Properties
* energy relative to the elements, uncorrected: -0.7828 eV/atom
* crystal system: tetragonal
* symmetry: I4/mmm
* magnetization: 0.0 Bohr magnetons per cell

Lattice parameters (Å, degrees): 5.297 5.297 19.618 97.76 97.76 90.00
Atoms (fractional coordinates):
Ac1 0.138 0.638 0.275
Ac2 0.068 0.068 0.136
Ac3 0.638 0.138 0.275
Ac4 0.862 0.362 0.725
Ac5 0.362 0.862 0.725
Ac6 0.932 0.932 0.864
Ac7 0.212 0.212 0.423
Ac8 0.788 0.788 0.577
Ac9 0.000 0.500 0.000
Ac10 0.500 0.000 0.000
Sn1 0.568 0.568 0.136
Sn2 0.432 0.432 0.864
Sn3 0.302 0.302 0.603
Sn4 0.698 0.698 0.397
N1 0.144 0.144 0.288
N2 0.856 0.856 0.712
N3 0.000 0.000 0.000